Entry 1:
{"formula": "Tb2ErPaN4", "functional": "PBE-GGA", "state": "relaxed", "formation_energy_uncorrected_ev_per_fu": -13.67, "energy_ev_per_atom": -8.7862, "magnetic_moment_mub_per_fu": 0.00, "n_ef_per_ev_atom": 0.46, "lattice": [[-1.324, 0.236, 3.226], [-4.364, -3.829, -1.512], [4.688, -3.097, 2.152]], "species": ["Tb", "Tb", "Er", "N", "N", "N", "N", "Pa"], "fractional_positions": [[0.500, 0.000, 0.500], [0.000, 0.500, 0.500], [0.500, 0.500, 0.000], [0.000, 0.244, 0.764], [0.500, 0.758, 0.763], [0.000, 0.756, 0.236], [0.500, 0.242, 0.237], [0.000, 0.000, 0.000]]}

---

Entry 2:
{"formula": "TbErPa2N4", "functional": "PBE-GGA", "state": "relaxed", "formation_energy_uncorrected_ev_per_fu": -13.32, "energy_ev_per_atom": -9.3511, "magnetic_moment_mub_per_fu": 0.00, "n_ef_per_ev_atom": 0.50, "lattice": [[-1.202, 3.060, -1.131], [-4.294, -0.123, 4.231], [4.917, 2.743, 2.197]], "species": ["Pa", "Pa", "N", "N", "N", "N", "Er", "Tb"], "fractional_positions": [[0.500, 0.000, 0.500], [0.000, 0.500, 0.500], [0.000, 0.243, 0.740], [0.000, 0.757, 0.260], [0.500, 0.751, 0.743], [0.500, 0.249, 0.257], [0.000, 0.000, 0.000], [0.500, 0.500, 0.000]]}

---

Entry 3:
{"formula": "Tb3ErPa2N6", "functional": "PBE-GGA", "state": "relaxed", "formation_energy_uncorrected_ev_per_fu": -20.36, "energy_ev_per_atom": -8.9802, "magnetic_moment_mub_per_fu": 0.00, "n_ef_per_ev_atom": 0.43, "lattice": [[-4.276, -4.173, -0.885], [1.706, 1.435, 5.614], [-3.140, 4.967, -1.396]], "species": ["N", "N", "N", "N", "N", "N", "Pa", "Pa", "Er", "Tb", "Tb", "Tb"], "fractional_positions": [[0.580, 0.922, 0.766], [0.262, 0.262, 0.764], [0.078, 0.420, 0.234], [0.922, 0.580, 0.766], [0.738, 0.738, 0.236], [0.420, 0.078, 0.234], [0.333, 0.667, 0.000], [0.667, 0.333, 0.000], [0.000, 0.000, 0.000], [0.834, 0.166, 0.500], [0.166, 0.834, 0.500], [0.500, 0.500, 0.500]]}

---

Entry 4:
{"formula": "ErPaTe2N", "functional": "PBE-GGA", "state": "relaxed", "formation_energy_uncorrected_ev_per_fu": -7.23, "energy_ev_per_atom": -7.1788, "magnetic_moment_mub_per_fu": 0.34, "n_ef_per_ev_atom": 0.67, "lattice": [[4.085, 0.000, 0.000], [0.000, 4.085, 0.000], [0.000, 0.000, 14.691]], "species": ["Er", "Er", "N", "N", "Te", "Te", "Te", "Te", "Pa", "Pa"], "fractional_positions": [[0.000, 0.500, 0.913], [0.500, 0.000, 0.087], [0.500, 0.500, 0.500], [0.000, 0.000, 0.500], [0.000, 0.500, 0.125], [0.500, 0.000, 0.875], [0.000, 0.500, 0.693], [0.500, 0.000, 0.307], [0.500, 0.000, 0.576], [0.000, 0.500, 0.424]]}

---

Entry 5:
{"formula": "ErPaTeN2", "functional": "PBE-GGA", "state": "relaxed", "formation_energy_uncorrected_ev_per_fu": -8.58, "energy_ev_per_atom": -8.4864, "magnetic_moment_mub_per_fu": 0.00, "lattice": [[-0.749, 2.234, 3.199], [0.785, -3.105, 2.352], [5.985, 2.123, -2.549]], "species": ["N", "N", "Pa", "Er", "Te"], "fractional_positions": [[0.746, 0.246, 0.491], [0.246, 0.746, 0.491], [0.170, 0.170, 0.339], [0.837, 0.837, 0.675], [0.502, 0.502, 0.003]]}

---

Entry 6:
{"formula": "Er2PaTiN4", "functional": "PBE-GGA", "state": "relaxed", "formation_energy_uncorrected_ev_per_fu": -13.02, "energy_ev_per_atom": -9.1049, "magnetic_moment_mub_per_fu": 0.00, "n_ef_per_ev_atom": 0.52, "lattice": [[3.369, 0.000, 0.000], [0.000, 5.758, 0.127], [0.000, -1.988, 5.457]], "species": ["Pa", "Er", "Er", "N", "N", "N", "N", "Ti"], "fractional_positions": [[0.500, 0.500, 0.000], [0.000, 0.500, 0.500], [0.500, 0.000, 0.500], [0.500, 0.238, 0.229], [0.000, 0.241, 0.761], [0.500, 0.762, 0.771], [0.000, 0.759, 0.239], [0.000, 0.000, 0.000]]}

---

Entry 7:
{"formula": "ErPa2TiN5", "functional": "PBE-GGA", "state": "relaxed", "formation_energy_uncorrected_ev_per_fu": -13.54, "energy_ev_per_atom": -9.6245, "magnetic_moment_mub_per_fu": 0.02, "n_ef_per_ev_atom": 0.82, "lattice": [[3.398, 0.000, 0.000], [-1.699, 6.783, 0.000], [0.000, 0.000, 10.319]], "species": ["N", "N", "N", "N", "N", "N", "N", "N", "N", "N", "Pa", "Pa", "Pa", "Pa", "Ti", "Ti", "Er", "Er"], "fractional_positions": [[0.621, 0.243, 0.520], [0.048, 0.095, 0.063], [0.952, 0.905, 0.563], [0.482, 0.964, 0.784], [0.379, 0.757, 0.020], [0.518, 0.036, 0.284], [0.282, 0.564, 0.663], [0.676, 0.353, 0.849], [0.718, 0.436, 0.163], [0.324, 0.647, 0.349], [0.861, 0.722, 0.783], [0.113, 0.226, 0.692], [0.887, 0.774, 0.192], [0.139, 0.278, 0.283], [0.481, 0.962, 0.472], [0.519, 0.038, 0.972], [0.213, 0.426, 0.998], [0.787, 0.574, 0.498]]}

---

Entry 8:
{"formula": "ErPa2TiN6", "functional": "PBE-GGA", "state": "relaxed", "formation_energy_uncorrected_ev_per_fu": -13.76, "energy_ev_per_atom": -9.5166, "magnetic_moment_mub_per_fu": 0.00, "n_ef_per_ev_atom": 0.87, "lattice": [[-1.573, -2.081, 5.105], [-4.110, -3.983, 0.328], [1.474, -5.531, 1.419]], "species": ["Ti", "Pa", "Pa", "N", "N", "N", "N", "N", "N", "Er"], "fractional_positions": [[0.310, 0.310, 0.071], [0.527, 0.527, 0.419], [0.024, 0.024, 0.928], [0.953, 0.597, 0.242], [0.597, 0.207, 0.242], [0.207, 0.953, 0.242], [0.694, 0.141, 0.758], [0.408, 0.694, 0.758], [0.141, 0.408, 0.758], [0.801, 0.801, 0.598]]}